1.
Material: Li2TmAgF6
Method: DFT, PBE-GGA
State: optimized geometry

Values from the calculation:
DOS at the Fermi energy: 0.0 states/eV/cell
VASP energy: -5.2357 eV per atom

a b c (Å): 5.529 5.528 5.819
angles (deg): 61.63 61.62 60.00
Site moments in Bohr magnetons follow the coordinates.
Positions (direct):
Ag 0.792 0.792 0.624  0.09
F 0.614 0.260 0.230  0.00
Li 0.019 0.019 0.942  0.00
F 0.260 0.896 0.230  0.00
F 0.896 0.614 0.230  0.00
Tm 0.312 0.312 0.065  0.00
Li 0.525 0.525 0.426  0.00
F 0.340 0.730 0.756  0.01
F 0.175 0.339 0.756  0.01
F 0.730 0.175 0.756  0.01

2.
Material: LiTmAg2F6
Method: DFT, PBE-GGA
State: optimized geometry

Values from the calculation:
DOS at the Fermi energy: 0.0 states/eV/cell
VASP energy: -4.9476 eV per atom

a b c (Å): 5.780 5.842 8.234
angles (deg): 90.00 90.65 90.00
Positions (direct):
F 0.305 0.693 0.046
F 0.195 0.193 0.454
Li 0.000 0.500 0.000
F 0.695 0.307 0.954
F 0.583 0.031 0.255
F 0.690 0.303 0.540
Li 0.500 0.000 0.500
F 0.917 0.531 0.245
Tm 0.000 0.500 0.500
Ag 0.509 0.540 0.748
Ag 0.491 0.460 0.252
F 0.310 0.697 0.460
F 0.190 0.197 0.040
Ag 0.009 0.960 0.248
F 0.805 0.807 0.546
Ag 0.991 0.040 0.752
F 0.417 0.969 0.745
Tm 0.500 0.000 0.000
F 0.810 0.803 0.960
F 0.083 0.469 0.755